Entry 1:
CdB2Te: relaxed, GGA-PBE.

Unit cell a=5.5106 b=5.5106 c=6.2802 alpha=63.98 beta=63.98 gamma=90.00
With the nearest neighbours (Å) after each atom.
Positions (direct):
Cd: 0.5000 0.5000 0.0000  4 B 2.34
B: 0.6359 0.1250 0.2500  2 Te 2.27, 2 Cd 2.34
B: 0.3750 0.3641 0.7500  2 Te 2.27, 2 Cd 2.34
Te: 0.7500 0.2500 0.5000  4 B 2.27
Cd: 0.2500 0.7500 0.5000  4 B 2.34
Te: 0.0000 0.0000 0.0000  4 B 2.27
B: 0.8750 0.8859 0.7500  2 Te 2.27, 2 Cd 2.34
B: 0.1141 0.6250 0.2500  2 Te 2.27, 2 Cd 2.34

The size of the total moment comes out at 0.0 μB/cell. The calculation puts the electronic total energy at -3.335 eV per atom. The uncorrected formation energy comes out at 1.0183 eV/atom. The density is 5.81 g/cm³.


Entry 2:
CdB2Te2: relaxed, GGA-PBE.

Unit cell a=7.8164 b=7.8164 c=3.5589 alpha=90.00 beta=90.00 gamma=90.00
With the nearest neighbours (Å) after each atom.
Positions (direct):
B: 0.7275 0.2275 0.0000  2 Te 2.22
Te: 0.8470 0.3470 0.5000  2 B 2.22
Cd: 0.5000 0.5000 0.0000  4 B 2.77
B: 0.2725 0.7725 0.0000  2 Te 2.22
Te: 0.6530 0.8470 0.5000  2 B 2.22
Cd: 0.0000 0.0000 0.0000  4 B 2.77
B: 0.7725 0.7275 0.0000  2 Te 2.22
Te: 0.3470 0.1530 0.5000  2 B 2.22
B: 0.2275 0.2725 0.0000  2 Te 2.22
Te: 0.1530 0.6530 0.5000  2 B 2.22

The size of the total moment comes out at 0.0 μB/cell. The calculation puts the electronic total energy at -3.063 eV per atom. The uncorrected formation energy comes out at 1.0479 eV/atom. The density is 5.95 g/cm³.


Entry 3:
Cd3BTe: relaxed, GGA-PBE.

Unit cell a=4.7849 b=4.7849 c=4.7849 alpha=90.00 beta=90.00 gamma=90.00
With the nearest neighbours (Å) after each atom.
Positions (direct):
B: 0.0000 0.0000 0.0000  6 Cd 2.39
Te: 0.5000 0.5000 0.5000  12 Cd 3.38
Cd: 0.5000 0.0000 0.0000  2 B 2.39
Cd: 0.0000 0.5000 0.0000  2 B 2.39
Cd: 0.0000 0.0000 0.5000  2 B 2.39

The size of the total moment comes out at 0.0 μB/cell. The calculation puts the electronic total energy at -2.142 eV per atom. The uncorrected formation energy comes out at 0.3706 eV/atom. The density is 7.21 g/cm³.


Entry 4:
CdB2Te2: relaxed, GGA-PBE.

Unit cell a=4.8681 b=4.8681 c=5.1878 alpha=62.02 beta=62.02 gamma=90.00
With the nearest neighbours (Å) after each atom.
Positions (direct):
Cd: 0.0000 0.0000 0.0000  2 B 3.01, 8 Te 3.11
B: 0.6122 0.6122 0.7755  1 B 1.74
B: 0.3878 0.3878 0.2245  1 B 1.74
Te: 0.7500 0.2500 0.5000  4 B 2.66
Te: 0.2500 0.7500 0.5000  4 B 2.66

The size of the total moment comes out at 0.0 μB/cell. The calculation puts the electronic total energy at -3.240 eV per atom. The uncorrected formation energy comes out at 0.8711 eV/atom. The density is 7.03 g/cm³.


Entry 5:
Th3CdB: relaxed, GGA-PBE.

Unit cell a=5.1929 b=5.1929 c=5.1929 alpha=90.00 beta=90.00 gamma=90.00
With the nearest neighbours (Å) after each atom.
Positions (direct):
Th: 0.0000 0.0000 0.5000  2 B 2.60
B: 0.0000 0.0000 0.0000  6 Th 2.60
Th: 0.5000 0.0000 0.0000  2 B 2.60
Cd: 0.5000 0.5000 0.5000  12 Th 3.67
Th: 0.0000 0.5000 0.0000  2 B 2.60

The size of the total moment comes out at 0.0 μB/cell. The calculation puts the electronic total energy at -5.991 eV per atom. The density is 9.72 g/cm³. Its formation energy is -0.0203 eV per atom.


Entry 6:
ThCdB: relaxed, GGA-PBE.

Unit cell a=3.8780 b=4.9931 c=7.4223 alpha=100.89 beta=90.00 gamma=112.85
With the nearest neighbours (Å) after each atom.
Positions (direct):
B: 0.5825 0.1650 0.0691  1 B 1.65
B: 0.4175 0.8350 0.9309  1 B 1.65
Th: 0.1159 0.2318 0.8272  5 B 2.70-2.87
Cd: 0.6352 0.2705 0.4276  1 B 2.61, 3 Cd 2.91
Th: 0.8841 0.7682 0.1728  5 B 2.70-2.87
Cd: 0.3648 0.7295 0.5724  1 B 2.61, 3 Cd 2.91

The size of the total moment comes out at 0.0 μB/cell. The calculation puts the electronic total energy at -5.140 eV per atom. The density is 9.10 g/cm³. Its formation energy is -0.1360 eV per atom.


Entry 7:
TiCd3B: relaxed, GGA-PBE.

Unit cell a=5.3871 b=5.3871 c=5.3871 alpha=90.00 beta=90.00 gamma=90.00
With the nearest neighbours (Å) after each atom.
Positions (direct):
Cd: 0.0000 0.0000 0.5000  2 Ti 2.69
B: 0.5000 0.5000 0.5000  12 Cd 3.81
Ti: 0.0000 0.0000 0.0000  6 Cd 2.69
Cd: 0.5000 0.0000 0.0000  2 Ti 2.69
Cd: 0.0000 0.5000 0.0000  2 Ti 2.69

The size of the total moment comes out at 2.9 μB/cell. The calculation puts the electronic total energy at -1.786 eV per atom. The density is 4.21 g/cm³. Its formation energy is 1.6779 eV per atom.


Entry 8:
TiCdB3: relaxed, GGA-PBE.

Unit cell a=4.1975 b=4.1975 c=4.1975 alpha=90.00 beta=90.00 gamma=90.00
With the nearest neighbours (Å) after each atom.
Positions (direct):
B: 0.5000 0.0000 0.0000  2 Ti 2.10
Cd: 0.5000 0.5000 0.5000  12 B 2.97
B: 0.0000 0.5000 0.0000  2 Ti 2.10
Ti: 0.0000 0.0000 0.0000  6 B 2.10
B: 0.0000 0.0000 0.5000  2 Ti 2.10

The size of the total moment comes out at 0.0 μB/cell. The calculation puts the electronic total energy at -4.326 eV per atom. The density is 4.33 g/cm³. Its formation energy is 1.4426 eV per atom.


Entry 9:
TiCd3B: relaxed, GGA-PBE.

Unit cell a=4.5712 b=4.5712 c=4.5712 alpha=90.00 beta=90.00 gamma=90.00
With the nearest neighbours (Å) after each atom.
Positions (direct):
Cd: 0.0000 0.5000 0.0000  2 B 2.29
B: 0.0000 0.0000 0.0000  6 Cd 2.29
Cd: 0.0000 0.0000 0.5000  2 B 2.29
Ti: 0.5000 0.5000 0.5000  12 Cd 3.23
Cd: 0.5000 0.0000 0.0000  2 B 2.29

The size of the total moment comes out at 1.1 μB/cell. The calculation puts the electronic total energy at -2.726 eV per atom. The density is 6.88 g/cm³. Its formation energy is 0.7374 eV per atom.


Entry 10:
Ti2CdB: relaxed, GGA-PBE.

Unit cell a=4.3801 b=4.3801 c=4.3801 alpha=60.00 beta=60.00 gamma=60.00
With the nearest neighbours (Å) after each atom.
Positions (direct):
B: 0.0000 0.0000 0.0000  8 Ti 2.68
Ti: 0.2500 0.2500 0.2500  4 Cd 2.68, 4 B 2.68
Cd: 0.5000 0.5000 0.5000  8 Ti 2.68
Ti: 0.7500 0.7500 0.7500  4 B 2.68, 4 Cd 2.68

The size of the total moment comes out at 0.0 μB/cell. The calculation puts the electronic total energy at -5.471 eV per atom. The density is 6.12 g/cm³. Its formation energy is 0.3746 eV per atom.


Entry 11:
TiCdB3: relaxed, GGA-PBE.

Unit cell a=4.2259 b=4.2259 c=4.2259 alpha=90.00 beta=90.00 gamma=90.00
With the nearest neighbours (Å) after each atom.
Positions (direct):
B: 0.0000 0.0000 0.5000  2 Cd 2.11
B: 0.5000 0.0000 0.0000  2 Cd 2.11
Ti: 0.5000 0.5000 0.5000  12 B 2.99
Cd: 0.0000 0.0000 0.0000  6 B 2.11
B: 0.0000 0.5000 0.0000  2 Cd 2.11

The size of the total moment comes out at 0.0 μB/cell. The calculation puts the electronic total energy at -3.598 eV per atom. The density is 4.24 g/cm³. Its formation energy is 2.1705 eV per atom.


Entry 12:
Ti2CdB: relaxed, GGA-PBE.

Unit cell a=6.7974 b=6.7974 c=5.5600 alpha=52.32 beta=52.32 gamma=90.00
With the nearest neighbours (Å) after each atom.
Positions (direct):
Ti: 0.3750 0.4448 0.7500  2 B 2.21
Cd: 0.0000 0.0000 0.0000  2 B 2.79, 8 Ti 2.85-2.96
Ti: 0.1948 0.6250 0.2500  2 B 2.21
Ti: 0.5552 0.1250 0.2500  2 B 2.21
B: 0.5000 0.5000 0.0000  4 Ti 2.21
Cd: 0.7500 0.2500 0.5000  2 B 2.79, 8 Ti 2.85-2.96
Ti: 0.8750 0.8052 0.7500  2 B 2.21
B: 0.2500 0.7500 0.5000  4 Ti 2.21

The size of the total moment comes out at 0.0 μB/cell. The calculation puts the electronic total energy at -5.580 eV per atom. The density is 5.63 g/cm³. Its formation energy is 0.2654 eV per atom.


Entry 13:
ZrTi2CdB: relaxed, GGA-PBE.

Unit cell a=4.3775 b=4.3775 c=4.6114 alpha=90.00 beta=90.00 gamma=90.00
With the nearest neighbours (Å) after each atom.
Positions (direct):
Cd: 0.5000 0.5000 0.5000  4 Zr 3.10, 8 Ti 3.18
Zr: 0.0000 0.0000 0.5000  2 B 2.31
Ti: 0.0000 0.5000 0.0000  2 B 2.19
B: 0.0000 0.0000 0.0000  4 Ti 2.19, 2 Zr 2.31
Ti: 0.5000 0.0000 0.0000  2 B 2.19

The size of the total moment comes out at 0.0 μB/cell. The calculation puts the electronic total energy at -6.609 eV per atom. The density is 5.83 g/cm³. Its formation energy is -0.2230 eV per atom.


Entry 14:
TlCdB: relaxed, GGA-PBE.

Unit cell a=6.3593 b=5.9603 c=4.5513 alpha=77.60 beta=73.35 gamma=60.12
With the nearest neighbours (Å) after each atom.
Positions (direct):
Cd: 0.8848 0.2373 0.5710  3 B 2.30-2.42
B: 0.8837 0.9170 0.9991  1 B 1.57
Tl: 0.5159 0.9879 0.5448  2 B 2.82-3.03
Cd: 0.8841 0.5497 0.9853  2 B 2.20-2.32
B: 0.8806 0.1537 0.1019  1 B 1.57
Tl: 0.2561 0.6487 0.3238  2 B 2.75-2.95

The size of the total moment comes out at 0.0 μB/cell. The calculation puts the electronic total energy at -2.765 eV per atom. The density is 7.62 g/cm³. Its formation energy is 0.5543 eV per atom.